The following is a GGA+U calculation of a relaxed structure of K3Tl3FeO8, from the Alexandria database.

a b c (Å): 6.733 6.733 7.366
angles (deg): 117.02 117.02 59.86
Fractional positions:
1 K 0.000 0.000 0.000
2 K 0.000 0.500 0.000
3 K 0.500 0.000 0.000
4 Tl 0.000 0.500 0.500
5 Tl 0.500 0.000 0.500
6 Tl 0.500 0.500 0.500
7 Fe 0.000 0.000 0.500
8 O 0.197 0.197 0.674
9 O 0.205 0.767 0.674
10 O 0.233 0.795 0.326
11 O 0.265 0.265 0.305
12 O 0.735 0.735 0.695
13 O 0.767 0.205 0.674
14 O 0.795 0.233 0.326
15 O 0.803 0.803 0.326

Raw total energy, eV per cell: -70.54
Symmetry: C2/m (12)